No. 1
## Sc2FeW (PBE)

Data for a relaxed structure of Sc2FeW.

abc: 2.9834 2.9834 8.2148
angles: 90.00 90.00 90.00
Positions (direct):
Sc: 0.0000 0.0000 0.9334
Sc: 0.5000 0.5000 0.2990
W: 0.0000 0.0000 0.5497
Fe: 0.5000 0.5000 0.7178

Computed properties:
**DOS at the Fermi energy**: 2.2 states/eV/cell
**Distance to the lowest polymorph of the same formula**: 0.0 kJ/mol of formula units
**Total DFT energy (no corrections)**: -8.488 eV/atom
**Total moment**: 0.0 Bohr magnetons per cell
**ΔE_f**: 0.03 eV/atom


No. 2
## CeSc2Ga4 (PBE)

Data for a relaxed structure of CeSc2Ga4.

abc: 4.0626 4.1201 9.2990
angles: 102.80 102.62 90.00
Site moments in Bohr magnetons follow the coordinates.
Positions (direct):
Ga: 0.9293 0.4293 0.8585  0.00
Ga: 0.3459 0.3459 0.6918  -0.01
Ga: 0.0707 0.5707 0.1415  0.00
Ga: 0.6541 0.6541 0.3082  -0.01
Sc: 0.8141 0.8141 0.6283  0.00
Sc: 0.1859 0.1859 0.3717  0.00
Ce: 0.5000 0.0000 0.0000  0.51

Computed properties:
**DOS at the Fermi energy**: 7.8 states/eV/cell
**Total DFT energy (no corrections)**: -4.970 eV/atom
**Total moment**: 0.6 Bohr magnetons per cell
**ΔE_f**: -0.58 eV/atom


No. 3
## Cd2AsP (PBE)

Data for a relaxed structure of Cd2AsP.

abc: 3.0936 4.9030 5.5051
angles: 90.00 90.00 90.00
Positions (direct):
Cd: 0.5000 0.5000 0.3752
Cd: 0.0000 0.0000 0.8749
P: 0.0000 0.0000 0.3748
As: 0.5000 0.5000 0.8751

Computed properties:
**DOS at the Fermi energy**: 2.0 states/eV/cell
**Distance to the lowest polymorph of the same formula**: 47.7 kJ/mol of formula units
**Total DFT energy (no corrections)**: -2.771 eV/atom
**Total moment**: 0.0 Bohr magnetons per cell
**ΔE_f**: 0.20 eV/atom


No. 4
## TePd2Au (PBE)

Data for a relaxed structure of TePd2Au.

abc: 5.8595 6.6833 8.0341
angles: 90.00 90.89 90.00
Positions (direct):
Pd: 0.9798 0.1866 0.8945
Pd: 0.5175 0.6947 0.5844
Pd: 0.0175 0.8053 0.5844
Pd: 0.4825 0.3053 0.4156
Pd: 0.5202 0.6866 0.1055
Pd: 0.4798 0.3134 0.8945
Pd: 0.0202 0.8134 0.1055
Pd: 0.9825 0.1947 0.4156
Te: 0.6909 0.0692 0.6619
Te: 0.8091 0.5692 0.3381
Te: 0.1909 0.4308 0.6619
Te: 0.3091 0.9308 0.3381
Au: 0.6829 0.0952 0.1466
Au: 0.1829 0.4048 0.1466
Au: 0.3171 0.9048 0.8534
Au: 0.8171 0.5952 0.8534

Computed properties:
**DOS at the Fermi energy**: 8.2 states/eV/cell
**E_form (uncorrected)**: -0.6 eV/f.u.
**Total DFT energy (no corrections)**: -4.344 eV/atom
**Total moment**: 0.0 Bohr magnetons per cell


No. 5
## Pr6Nd3Sm2Ho (PBE)

Data for a relaxed structure of Pr6Nd3Sm2Ho.

abc: 6.3808 6.3808 12.1496
angles: 95.04 95.04 120.02
Positions (direct):
Sm: 0.3333 0.6667 0.0000
Sm: 0.6667 0.3333 0.0000
Nd: 0.1666 0.8334 0.5000
Nd: 0.5000 0.5000 0.5000
Nd: 0.8334 0.1666 0.5000
Ho: 0.0000 0.0000 0.0000
Pr: 0.4152 0.0828 0.2474
Pr: 0.2499 0.2499 0.7523
Pr: 0.9172 0.5848 0.7526
Pr: 0.7501 0.7501 0.2477
Pr: 0.0828 0.4152 0.2474
Pr: 0.5848 0.9172 0.7526

Computed properties:
**DOS at the Fermi energy**: 17.8 states/eV/cell
**Total DFT energy (no corrections)**: -4.737 eV/atom
**Total moment**: 0.0 Bohr magnetons per cell
**ΔE_f**: 0.01 eV/atom


No. 6
## NbCdOs2C (PBE)

Data for a relaxed structure of NbCdOs2C.

abc: 4.9535 3.7571 4.9535
angles: 90.00 90.00 90.00
Site moments in Bohr magnetons follow the coordinates.
Positions (direct):
Cd: 0.0000 0.0000 0.0000  0.00
Nb: 0.5000 0.5000 0.5000  -0.36
Os: 0.0000 0.0000 0.5000  0.53
Os: 0.5000 0.0000 0.0000  0.47
C: 0.0000 0.5000 0.0000  0.05

Computed properties:
**DOS at the Fermi energy**: 5.3 states/eV/cell
**Total DFT energy (no corrections)**: -5.707 eV/atom
**Total moment**: 0.6 Bohr magnetons per cell
**ΔE_f**: 2.83 eV/atom


No. 7
## Sm2HoAgTe5 (PBE)

Data for a relaxed structure of Sm2HoAgTe5.

abc: 4.3599 9.6454 13.2790
angles: 90.00 90.00 103.06
Positions (direct):
Te: 0.4985 0.9969 0.7794
Te: 0.5015 0.0031 0.2794
Te: 0.7140 0.4281 0.1681
Te: 0.2860 0.5719 0.6681
Te: 0.3059 0.6117 0.3399
Te: 0.0420 0.0840 0.0786
Te: 0.3566 0.7133 0.9988
Te: 0.6941 0.3883 0.8399
Te: 0.6434 0.2867 0.4988
Te: 0.9580 0.9160 0.5786
Ag: 0.4315 0.8630 0.4607
Ag: 0.5685 0.1370 0.9607
Sm: 0.8888 0.7776 0.1862
Sm: 0.1258 0.2517 0.3037
Sm: 0.1112 0.2224 0.6862
Sm: 0.8742 0.7483 0.8037
Ho: 0.8082 0.6164 0.5087
Ho: 0.1918 0.3836 0.0087

Computed properties:
**DOS at the Fermi energy**: 0.3 states/eV/cell
**E_form (uncorrected)**: -10.4 eV/f.u.
**Total DFT energy (no corrections)**: -4.771 eV/atom
**Total moment**: 0.0 Bohr magnetons per cell


No. 8
## Lu3Ga8Ir3 (PBE)

Data for a relaxed structure of Lu3Ga8Ir3.

abc: 8.1409 8.1409 8.1409
angles: 150.43 106.08 81.56
Positions (direct):
Ir: 0.2238 0.0000 0.2238
Ir: 0.0000 0.5000 0.5000
Ir: 0.7762 0.0000 0.7762
Lu: 0.1650 0.1650 0.0000
Lu: 0.8350 0.8350 0.0000
Lu: 0.5000 0.5000 0.0000
Ga: 0.3393 0.6242 0.7151
Ga: 0.5435 0.1719 0.3715
Ga: 0.1996 0.8281 0.3715
Ga: 0.4565 0.8281 0.6285
Ga: 0.9091 0.6242 0.2849
Ga: 0.6607 0.3758 0.2849
Ga: 0.8004 0.1719 0.6285
Ga: 0.0909 0.3758 0.7151

Computed properties:
**DOS at the Fermi energy**: 6.0 states/eV/cell
**Total DFT energy (no corrections)**: -5.226 eV/atom
**Total moment**: 0.0 Bohr magnetons per cell
**ΔE_f**: -0.63 eV/atom


No. 9
## HfTi2Hg2 (PBE)

Data for a relaxed structure of HfTi2Hg2.

abc: 3.0777 3.0812 10.9238
angles: 81.89 90.00 90.00
Positions (direct):
Hg: 0.0000 0.1896 0.6208
Hg: 0.0000 0.8104 0.3792
Ti: 0.5000 0.5952 0.8097
Ti: 0.5000 0.4048 0.1903
Hf: 0.0000 0.0000 0.0000

Computed properties:
**DOS at the Fermi energy**: 4.9 states/eV/cell
**Distance to the lowest polymorph of the same formula**: 0.0 kJ/mol of formula units
**Total DFT energy (no corrections)**: -5.250 eV/atom
**Total moment**: 0.0 Bohr magnetons per cell
**ΔE_f**: 0.02 eV/atom


No. 10
## NiOsRh (PBE)

Data for a relaxed structure of NiOsRh.

abc: 4.0803 4.0803 4.0803
angles: 60.00 60.00 60.00
Site moments in Bohr magnetons follow the coordinates.
Positions (direct):
Ni: 0.5000 0.5000 0.5000  0.43
Rh: 0.0000 0.0000 0.0000  0.02
Os: 0.7500 0.7500 0.7500  0.22

Computed properties:
**DOS at the Fermi energy**: 4.8 states/eV/cell
**Distance to the lowest polymorph of the same formula**: 184.2 kJ/mol of formula units
**Total DFT energy (no corrections)**: -7.427 eV/atom
**Total moment**: 0.7 Bohr magnetons per cell
**ΔE_f**: 0.69 eV/atom


No. 11
## Li2ZnNi (PBE)

Data for a relaxed structure of Li2ZnNi.

abc: 2.8224 4.1746 4.3599
angles: 90.00 90.00 90.00
Positions (direct):
Zn: 0.0000 0.5000 0.5000
Ni: 0.5000 0.0000 0.5000
Li: 0.0000 0.0000 0.0000
Li: 0.5000 0.5000 0.0000

Computed properties:
**DOS at the Fermi energy**: 1.8 states/eV/cell
**Total DFT energy (no corrections)**: -2.831 eV/atom
**Total moment**: 0.0 Bohr magnetons per cell
**ΔE_f**: -0.11 eV/atom


No. 12
## Sc2Ni2Pb (PBE)

Data for a relaxed structure of Sc2Ni2Pb.

abc: 3.4292 3.4292 8.6605
angles: 78.58 78.58 90.00
Positions (direct):
Pb: 0.0000 0.0000 0.0000
Ni: 0.7500 0.2500 0.5000
Ni: 0.2500 0.7500 0.5000
Sc: 0.3677 0.3677 0.2645
Sc: 0.6323 0.6323 0.7355

Computed properties:
**DOS at the Fermi energy**: 5.1 states/eV/cell
**Total DFT energy (no corrections)**: -5.852 eV/atom
**Total moment**: 0.0 Bohr magnetons per cell
**ΔE_f**: -0.27 eV/atom